The following is a DFT calculation (GGA-PBE) of a relaxed structure of Cs2PaRhO6. Values from VASP.

Output
- energy relative to the elements, uncorrected (eV/f.u.) = -19.09
- theoretical density (g/cm³) = 6.63
- space group = No. 166
- electronic total energy (eV/atom) = -6.74
- Fermi-level density of states (states/eV/f.u.) = 4.6

Geometry as Quantum ESPRESSO input:
```
&SYSTEM
  ibrav = 0, nat = 20, ntyp = 4
/
ATOMIC_SPECIES
O 16.00 O.upf
Pa 231.04 Pa.upf
Cs 132.91 Cs.upf
Rh 102.91 Rh.upf
ATOMIC_POSITIONS angstrom
O -2.923 -4.124 4.677
O -7.933 -5.170 7.864
O -2.256 -5.865 2.132
O -5.591 -4.317 10.081
O -4.924 -6.059 7.536
O -5.734 -4.327 5.765
O -2.113 -5.856 6.447
O -3.942 -6.522 4.716
O -1.218 -8.082 4.398
O -3.904 -3.661 7.496
O -6.628 -2.101 7.814
O 0.086 -5.012 4.348
Pa -6.013 -4.173 7.961
Pa -1.834 -6.010 4.251
Cs -3.369 -8.743 6.926
Cs -4.477 -1.440 5.286
Cs -1.294 -2.839 2.461
Cs -6.552 -7.344 9.752
Rh 0.000 0.000 0.000
Rh -3.923 -5.091 6.106
CELL_PARAMETERS angstrom
-2.469 -5.808 0.095
1.963 -4.194 4.289
-7.341 -0.181 7.828
```